No. 1
The following is a DFT calculation (PBE-GGA) of an optimized crystal structure of HoEr7Ru2.

The calculation puts the energy relative to the elements at -0.023 eV/atom. As for the volume: 31.58 Å³ per atom. The spin magnetization is 0.000 μB/atom.

```
data_HoEr7Ru2
_cell_length_a 8.680
_cell_length_b 13.648
_cell_length_c 5.332
_cell_angle_alpha 90.00
_cell_angle_beta 90.00
_cell_angle_gamma 90.00
_space_group_name_H-M_alt 'C m m m'
_space_group_IT_number 65
_space_group_name_Hall '-C 2 2'
loop_
_atom_site_label
_atom_site_type_symbol
_atom_site_fract_x
_atom_site_fract_y
_atom_site_fract_z
Ho1 Ho 0.000 0.000 0.000
Er1 Er 0.000 0.294 0.000
Er2 Er 0.000 0.500 0.500
Er3 Er 0.192 0.134 0.500
Ru1 Ru 0.000 0.296 0.500
```



No. 2
The following is a DFT calculation (PBE-GGA) of an optimized crystal structure of HoEr5Ru6.

The calculation puts the energy relative to the elements at -0.377 eV/atom. As for the volume: 19.16 Å³ per atom. The spin magnetization is 0.000 μB/atom.

```
data_HoEr5Ru6
_cell_length_a 15.024
_cell_length_b 6.754
_cell_length_c 4.776
_cell_angle_alpha 90.00
_cell_angle_beta 108.39
_cell_angle_gamma 90.00
_space_group_name_H-M_alt 'C 1 2/m 1'
_space_group_IT_number 12
loop_
_space_group_symop_operation_xyz
'x,y,z'
'-x,-y,-z'
'-x,y,-z'
'x,-y,z'
'x+1/2,y+1/2,z'
'-x+1/2,-y+1/2,-z'
'-x+1/2,y+1/2,-z'
'x+1/2,-y+1/2,z'
loop_
_atom_site_label
_atom_site_type_symbol
_atom_site_fract_x
_atom_site_fract_y
_atom_site_fract_z
Ho1 Ho 0.000 0.000 0.000
Er1 Er 0.000 0.500 0.000
Er2 Er 0.167 0.000 0.667
Er3 Er 0.167 0.500 0.667
Ru1 Ru 0.000 0.251 0.500
Ru2 Ru 0.167 0.250 0.167
```



> Which formula does entry 1 have?

HoEr7Ru2



> What is the formula in the second record?

HoEr5Ru6